First-principles (PBE-GGA) data for an optimized crystal structure of K4VS4, as listed in the Alexandria database.

The density of states at the Fermi level comes out at 5.82 states/eV/f.u. As for the space-group type: I-42m, No. 121. The electronic total energy is -4.399 eV/atom. As for the formation energy without anion corrections: -9.6 eV/f.u.

Cell lengths 8.1623, 8.1623, 8.1623 Å; angles 125.98, 125.98, 79.92 degrees
Sites, in units of the cell vectors:
K (0.0000, 0.5000, 0.5000)
K (0.2001, 0.2001, 0.0000)
K (0.5000, 0.0000, 0.5000)
K (0.7999, 0.7999, 0.0000)
V (0.5000, 0.5000, 0.0000)
S (0.2213, 0.5715, 0.0000)
S (0.4285, 0.4285, 0.6498)
S (0.5715, 0.2213, 0.0000)
S (0.7787, 0.7787, 0.3502)